! Pm3Ni (PBE, optimized geometry); values from VASP
&SYSTEM
  ibrav = 0, nat = 4, ntyp = 2
/
ATOMIC_SPECIES
Pm 145.00 Pm.upf
Ni 58.69 Ni.upf
CELL_PARAMETERS angstrom
3.574 0.000 0.000
0.000 3.624 0.000
0.000 0.000 9.213
ATOMIC_POSITIONS angstrom
Pm 0.000 0.000 0.000
Pm 0.000 1.812 3.163
Pm 1.787 1.812 6.536
Ni 1.787 0.000 4.395
! ρ: 6.87 Mg/m³
! ΔE_f: 0.05 eV per atom
! N(E_F): 1.132 states/eV/atom
! relative energy among the computed polymorphs: 213.0 meV/atom
! final energy: -19.835 eV for the cell shown



! PmNi2 (PBE, optimized geometry); values from VASP
&SYSTEM
  ibrav = 0, nat = 6, ntyp = 2
/
ATOMIC_SPECIES
Pm 145.00 Pm.upf
Ni 58.69 Ni.upf
CELL_PARAMETERS angstrom
0.000 3.641 3.641
3.641 0.000 3.641
3.641 3.641 0.000
ATOMIC_POSITIONS angstrom
Pm 0.910 0.910 0.910
Pm 6.372 6.372 6.372
Ni 3.641 1.821 1.821
Ni 1.821 3.641 1.821
Ni 1.821 1.821 3.641
Ni 3.641 3.641 3.641
! ρ: 9.03 Mg/m³
! ΔE_f: -0.34 eV per atom
! N(E_F): 0.824 states/eV/atom
! relative energy among the computed polymorphs: 0.0 meV/atom
! final energy: -34.682 eV for the cell shown



! PmNi (PBE, optimized geometry); values from VASP
&SYSTEM
  ibrav = 0, nat = 2, ntyp = 2
/
ATOMIC_SPECIES
Pm 145.00 Pm.upf
Ni 58.69 Ni.upf
CELL_PARAMETERS angstrom
0.000 2.841 2.841
2.841 0.000 2.841
2.841 2.841 0.000
ATOMIC_POSITIONS angstrom
Pm 0.000 0.000 0.000
Ni 2.841 2.841 2.841
! ρ: 7.38 Mg/m³
! ΔE_f: -0.17 eV per atom
! N(E_F): 0.542 states/eV/atom
! final energy: -10.868 eV for the cell shown



! PmNi4 (PBE, optimized geometry); values from VASP
&SYSTEM
  ibrav = 0, nat = 20, ntyp = 2
/
ATOMIC_SPECIES
Pm 145.00 Pm.upf
Ni 58.69 Ni.upf
CELL_PARAMETERS angstrom
-4.210 4.210 4.210
4.210 -4.210 4.210
4.210 4.210 -4.210
ATOMIC_POSITIONS angstrom
Pm 2.319 2.319 -2.319
Pm 2.319 -2.319 2.319
Pm 1.891 1.891 1.891
Pm -2.319 2.319 2.319
Ni 0.828 0.828 -0.828
Ni 0.828 -0.828 0.828
Ni 2.976 0.000 0.000
Ni 5.445 0.000 0.000
Ni -0.828 0.828 0.828
Ni 4.210 2.105 0.000
Ni 4.210 0.000 2.105
Ni 0.000 2.976 0.000
Ni 0.000 0.000 2.976
Ni 2.105 4.210 0.000
Ni 2.105 0.000 4.210
Ni 0.000 5.445 0.000
Ni 0.000 0.000 5.445
Ni 0.000 4.210 2.105
Ni 0.000 2.105 4.210
Ni 3.382 3.382 3.382
! ρ: 8.45 Mg/m³
! ΔE_f: -0.14 eV per atom
! N(E_F): 1.542 states/eV/atom
! relative energy among the computed polymorphs: 0.0 meV/atom
! final energy: -114.315 eV for the cell shown



! Pm2Ni17 (PBE, optimized geometry); values from VASP
&SYSTEM
  ibrav = 0, nat = 19, ntyp = 2
/
ATOMIC_SPECIES
Pm 145.00 Pm.upf
Ni 58.69 Ni.upf
CELL_PARAMETERS angstrom
4.172 2.409 4.039
-4.172 2.409 4.039
0.000 -4.818 4.039
ATOMIC_POSITIONS angstrom
Pm 0.000 0.000 1.935
Pm 0.000 0.000 10.183
Ni -2.086 -1.204 4.039
Ni 0.000 -2.393 3.896
Ni -2.072 1.196 3.896
Ni -1.212 -2.100 6.059
Ni -2.425 0.000 6.059
Ni -2.072 -1.196 8.222
Ni 0.000 0.000 4.866
Ni -2.086 1.204 8.079
Ni 1.212 -2.100 6.059
Ni 0.000 2.409 4.039
Ni -1.212 2.100 6.059
Ni 0.000 0.000 7.252
Ni 2.072 1.196 3.896
Ni 2.425 0.000 6.059
Ni 1.212 2.100 6.059
Ni 2.072 -1.196 8.222
Ni 0.000 2.393 8.222
! ρ: 8.78 Mg/m³
! ΔE_f: -0.17 eV per atom
! N(E_F): 1.413 states/eV/atom
! final energy: -111.015 eV for the cell shown



! Pm2Ni (PBE, optimized geometry); values from VASP
&SYSTEM
  ibrav = 0, nat = 12, ntyp = 2
/
ATOMIC_SPECIES
Pm 145.00 Pm.upf
Ni 58.69 Ni.upf
CELL_PARAMETERS angstrom
7.098 0.000 0.000
0.000 4.922 0.000
0.000 0.000 8.693
ATOMIC_POSITIONS angstrom
Pm 0.088 1.231 1.418
Pm 0.985 1.231 5.142
Pm 2.564 3.692 0.795
Pm 3.461 3.692 5.764
Pm 3.637 1.231 2.929
Pm 4.534 1.231 7.898
Pm 6.113 3.692 3.551
Pm 7.010 3.692 7.275
Ni 1.731 1.231 7.950
Ni 1.818 3.692 3.603
Ni 5.280 1.231 5.090
Ni 5.367 3.692 0.743
! ρ: 7.63 Mg/m³
! ΔE_f: -0.22 eV per atom
! N(E_F): 1.121 states/eV/atom
! relative energy among the computed polymorphs: 13.8 meV/atom
! final energy: -63.711 eV for the cell shown



! PmNi12 (PBE, optimized geometry); values from VASP
&SYSTEM
  ibrav = 0, nat = 13, ntyp = 2
/
ATOMIC_SPECIES
Pm 145.00 Pm.upf
Ni 58.69 Ni.upf
CELL_PARAMETERS angstrom
-4.125 4.125 2.357
4.125 -4.125 2.357
4.125 4.125 -2.357
ATOMIC_POSITIONS angstrom
Pm 0.000 0.000 0.000
Ni 2.063 2.063 -1.178
Ni 2.932 0.000 0.000
Ni 2.063 -2.063 1.178
Ni 5.319 0.000 0.000
Ni 4.125 2.244 0.000
Ni 0.000 2.932 0.000
Ni -2.063 2.063 1.178
Ni 2.244 4.125 0.000
Ni 2.063 2.063 1.178
Ni 1.881 0.000 2.357
Ni 0.000 5.319 0.000
Ni 0.000 1.881 2.357
! ρ: 8.79 Mg/m³
! ΔE_f: -0.09 eV per atom
! N(E_F): 1.695 states/eV/atom
! final energy: -75.356 eV for the cell shown



! Pm5Ni2 (PBE, optimized geometry); values from VASP
&SYSTEM
  ibrav = 0, nat = 14, ntyp = 2
/
ATOMIC_SPECIES
Pm 145.00 Pm.upf
Ni 58.69 Ni.upf
CELL_PARAMETERS angstrom
8.472 -3.247 0.000
8.472 3.247 0.000
-0.806 0.000 6.955
ATOMIC_POSITIONS angstrom
Pm 7.867 2.813 5.216
Pm 3.384 0.450 2.186
Pm 2.980 -0.450 5.663
Pm 6.788 0.681 0.533
Pm 9.752 0.681 2.945
Pm 6.385 -0.681 4.010
Pm 9.349 -0.681 6.422
Pm 13.157 0.450 1.292
Pm 12.754 -0.450 4.769
Pm 8.270 -2.813 1.739
Ni 6.276 1.972 2.983
Ni 10.265 1.972 0.494
Ni 5.872 -1.972 6.461
Ni 9.862 -1.972 3.972
! ρ: 7.31 Mg/m³
! ΔE_f: -0.20 eV per atom
! N(E_F): 1.124 states/eV/atom
! final energy: -73.487 eV for the cell shown



! Pm3Ni (PBE, optimized geometry); values from VASP
&SYSTEM
  ibrav = 0, nat = 4, ntyp = 2
/
ATOMIC_SPECIES
Pm 145.00 Pm.upf
Ni 58.69 Ni.upf
CELL_PARAMETERS angstrom
-1.819 5.310 2.948
1.819 -5.310 2.948
1.819 5.310 -2.948
ATOMIC_POSITIONS angstrom
Pm 0.000 0.000 0.000
Pm 1.819 3.265 0.065
Pm 0.000 2.045 3.013
Ni 1.819 0.000 2.147
! ρ: 7.20 Mg/m³
! ΔE_f: -0.08 eV per atom
! N(E_F): 1.715 states/eV/atom
! relative energy among the computed polymorphs: 82.5 meV/atom
! final energy: -20.357 eV for the cell shown



! Pm5Ni6 (PBE, optimized geometry); values from VASP
&SYSTEM
  ibrav = 0, nat = 11, ntyp = 2
/
ATOMIC_SPECIES
Pm 145.00 Pm.upf
Ni 58.69 Ni.upf
CELL_PARAMETERS angstrom
2.076 -14.114 0.000
2.076 14.114 0.000
0.000 0.000 3.885
ATOMIC_POSITIONS angstrom
Pm 0.000 0.000 0.000
Pm 2.076 8.545 1.942
Pm 2.076 3.196 0.000
Pm 2.076 -3.196 0.000
Pm 2.076 -8.545 1.942
Ni 2.076 11.644 1.942
Ni 2.076 6.314 0.000
Ni 2.076 1.164 1.942
Ni 2.076 -1.164 1.942
Ni 2.076 -6.314 0.000
Ni 2.076 -11.644 1.942
! ρ: 7.86 Mg/m³
! ΔE_f: -0.34 eV per atom
! N(E_F): 0.824 states/eV/atom
! final energy: -62.221 eV for the cell shown



! PmNi5 (PBE, optimized geometry); values from VASP
&SYSTEM
  ibrav = 0, nat = 6, ntyp = 2
/
ATOMIC_SPECIES
Pm 145.00 Pm.upf
Ni 58.69 Ni.upf
CELL_PARAMETERS angstrom
2.324 -4.370 0.000
2.324 4.370 0.000
-1.420 0.000 4.121
ATOMIC_POSITIONS angstrom
Pm 0.000 0.000 0.000
Ni 1.614 2.495 2.061
Ni 2.324 1.469 0.000
Ni 1.614 0.000 2.061
Ni 2.324 -1.469 0.000
Ni 1.614 -2.495 2.061
! ρ: 8.70 Mg/m³
! ΔE_f: -0.01 eV per atom
! N(E_F): 1.523 states/eV/atom
! final energy: -33.718 eV for the cell shown



! Pm2Ni (PBE, optimized geometry); values from VASP
&SYSTEM
  ibrav = 0, nat = 3, ntyp = 2
/
ATOMIC_SPECIES
Pm 145.00 Pm.upf
Ni 58.69 Ni.upf
CELL_PARAMETERS angstrom
-1.749 1.749 6.409
1.749 -1.749 6.409
1.749 1.749 -6.409
ATOMIC_POSITIONS angstrom
Pm 0.000 0.000 1.657
Pm 0.000 0.000 11.161
Ni 0.000 0.000 6.409
! ρ: 7.38 Mg/m³
! ΔE_f: -0.15 eV per atom
! N(E_F): 1.266 states/eV/atom
! relative energy among the computed polymorphs: 83.4 meV/atom
! final energy: -15.719 eV for the cell shown



! Pm2Ni (PBE, optimized geometry); values from VASP
&SYSTEM
  ibrav = 0, nat = 6, ntyp = 2
/
ATOMIC_SPECIES
Pm 145.00 Pm.upf
Ni 58.69 Ni.upf
CELL_PARAMETERS angstrom
6.255 -1.889 0.000
6.255 1.889 0.000
-4.889 0.000 6.607
ATOMIC_POSITIONS angstrom
Pm -0.796 0.000 2.560
Pm -0.375 0.000 6.112
Pm 7.996 0.000 0.496
Pm 8.417 0.000 4.047
Ni 3.135 0.000 2.119
Ni 4.486 0.000 4.488
! ρ: 7.42 Mg/m³
! ΔE_f: -0.23 eV per atom
! N(E_F): 1.134 states/eV/atom
! relative energy among the computed polymorphs: 0.0 meV/atom
! final energy: -31.938 eV for the cell shown



! Pm3Ni (PBE, optimized geometry); values from VASP
&SYSTEM
  ibrav = 0, nat = 8, ntyp = 2
/
ATOMIC_SPECIES
Pm 145.00 Pm.upf
Ni 58.69 Ni.upf
CELL_PARAMETERS angstrom
1.882 -6.038 0.000
1.882 6.038 0.000
0.000 0.000 9.892
ATOMIC_POSITIONS angstrom
Pm 1.882 5.007 7.419
Pm 1.882 1.660 5.627
Pm 1.882 1.660 9.210
Pm 1.882 -1.660 0.682
Pm 1.882 -1.660 4.264
Pm 1.882 -5.007 2.473
Ni 1.882 3.258 2.473
Ni 1.882 -3.258 7.419
! ρ: 7.30 Mg/m³
! ΔE_f: -0.16 eV per atom
! N(E_F): 1.388 states/eV/atom
! relative energy among the computed polymorphs: 0.0 meV/atom
! final energy: -41.374 eV for the cell shown



! Pm5Ni4 (PBE, optimized geometry); values from VASP
&SYSTEM
  ibrav = 0, nat = 9, ntyp = 2
/
ATOMIC_SPECIES
Pm 145.00 Pm.upf
Ni 58.69 Ni.upf
CELL_PARAMETERS angstrom
5.633 -1.915 0.000
5.633 1.915 0.000
-3.352 0.000 9.688
ATOMIC_POSITIONS angstrom
Pm 0.000 0.000 0.000
Pm -0.136 0.000 3.824
Pm -0.176 0.000 7.932
Pm 8.089 0.000 1.756
Pm 8.050 0.000 5.863
Ni 3.173 0.000 3.826
Ni 4.622 0.000 1.768
Ni 3.292 0.000 7.920
Ni 4.741 0.000 5.862
! ρ: 7.63 Mg/m³
! ΔE_f: -0.29 eV per atom
! N(E_F): 0.910 states/eV/atom
! final energy: -49.450 eV for the cell shown



! PmNi (PBE, optimized geometry); values from VASP
&SYSTEM
  ibrav = 0, nat = 4, ntyp = 2
/
ATOMIC_SPECIES
Pm 145.00 Pm.upf
Ni 58.69 Ni.upf
CELL_PARAMETERS angstrom
3.825 0.000 0.000
0.000 4.295 0.000
-1.901 0.000 5.247
ATOMIC_POSITIONS angstrom
Pm 0.003 1.074 1.448
Pm 1.921 3.221 3.799
Ni 0.010 1.074 4.498
Ni 1.914 3.221 0.748
! ρ: 7.85 Mg/m³
! ΔE_f: -0.35 eV per atom
! N(E_F): 0.620 states/eV/atom
! final energy: -22.473 eV for the cell shown



! Pm3Ni2 (PBE, optimized geometry); values from VASP
&SYSTEM
  ibrav = 0, nat = 5, ntyp = 2
/
ATOMIC_SPECIES
Pm 145.00 Pm.upf
Ni 58.69 Ni.upf
CELL_PARAMETERS angstrom
-1.745 1.745 9.869
1.745 -1.745 9.869
1.745 1.745 -9.869
ATOMIC_POSITIONS angstrom
Pm 0.000 0.000 0.000
Pm 0.000 0.000 3.386
Pm 0.000 0.000 16.352
Ni 0.000 0.000 8.072
Ni 0.000 0.000 11.666
! ρ: 7.63 Mg/m³
! ΔE_f: -0.19 eV per atom
! N(E_F): 1.193 states/eV/atom
! relative energy among the computed polymorphs: 66.3 meV/atom
! final energy: -26.756 eV for the cell shown



! PmNi2 (PBE, optimized geometry); values from VASP
&SYSTEM
  ibrav = 0, nat = 3, ntyp = 2
/
ATOMIC_SPECIES
Pm 145.00 Pm.upf
Ni 58.69 Ni.upf
CELL_PARAMETERS angstrom
-1.677 1.677 4.597
1.677 -1.677 4.597
1.677 1.677 -4.597
ATOMIC_POSITIONS angstrom
Pm 0.000 0.000 0.000
Ni 0.000 0.000 2.754
Ni 0.000 0.000 6.440
! ρ: 8.42 Mg/m³
! ΔE_f: -0.05 eV per atom
! N(E_F): 1.323 states/eV/atom
! relative energy among the computed polymorphs: 292.6 meV/atom
! final energy: -16.463 eV for the cell shown



! Pm2Ni3 (PBE, optimized geometry); values from VASP
&SYSTEM
  ibrav = 0, nat = 10, ntyp = 2
/
ATOMIC_SPECIES
Pm 145.00 Pm.upf
Ni 58.69 Ni.upf
CELL_PARAMETERS angstrom
2.553 -4.713 0.000
2.553 4.713 0.000
0.000 0.000 7.694
ATOMIC_POSITIONS angstrom
Pm 2.553 3.234 6.957
Pm 2.553 1.479 3.111
Pm 2.553 -1.479 4.583
Pm 2.553 -3.234 0.736
Ni 0.000 0.000 3.847
Ni 1.276 0.880 5.770
Ni 1.276 -0.880 1.923
Ni 2.553 0.000 0.000
Ni 3.829 0.880 5.770
Ni 3.829 -0.880 1.923
! ρ: 8.36 Mg/m³
! ΔE_f: -0.34 eV per atom
! N(E_F): 0.685 states/eV/atom
! relative energy among the computed polymorphs: 0.0 meV/atom
! final energy: -57.137 eV for the cell shown



! PmNi4 (PBE, optimized geometry); values from VASP
&SYSTEM
  ibrav = 0, nat = 5, ntyp = 2
/
ATOMIC_SPECIES
Pm 145.00 Pm.upf
Ni 58.69 Ni.upf
CELL_PARAMETERS angstrom
4.657 0.000 0.000
0.000 4.657 0.000
0.000 0.000 4.657
ATOMIC_POSITIONS angstrom
Pm 0.000 0.000 0.000
Ni 0.000 0.000 2.328
Ni 0.000 2.328 0.000
Ni 2.328 0.000 0.000
Ni 2.328 2.328 2.328
! ρ: 6.24 Mg/m³
! ΔE_f: 1.62 eV per atom
! N(E_F): 1.438 states/eV/atom
! relative energy among the computed polymorphs: 1763.9 meV/atom
! final energy: -19.760 eV for the cell shown



! PmNi5 (PBE, optimized geometry); values from VASP
&SYSTEM
  ibrav = 0, nat = 6, ntyp = 2
/
ATOMIC_SPECIES
Pm 145.00 Pm.upf
Ni 58.69 Ni.upf
CELL_PARAMETERS angstrom
1.929 -5.552 0.000
1.929 5.552 0.000
0.000 0.000 3.833
ATOMIC_POSITIONS angstrom
Pm 0.000 0.000 0.000
Ni 1.929 3.510 1.916
Ni 1.929 2.001 0.000
Ni 1.929 0.000 1.916
Ni 1.929 -2.001 0.000
Ni 1.929 -3.510 1.916
! ρ: 8.87 Mg/m³
! ΔE_f: -0.01 eV per atom
! N(E_F): 1.615 states/eV/atom
! final energy: -33.736 eV for the cell shown



! Pm3Ni2 (PBE, optimized geometry); values from VASP
&SYSTEM
  ibrav = 0, nat = 5, ntyp = 2
/
ATOMIC_SPECIES
Pm 145.00 Pm.upf
Ni 58.69 Ni.upf
CELL_PARAMETERS angstrom
2.219 -7.135 0.000
2.219 7.135 0.000
0.000 0.000 3.830
ATOMIC_POSITIONS angstrom
Pm 0.000 0.000 0.000
Pm 2.219 2.146 1.915
Pm 2.219 -2.146 1.915
Ni 2.219 4.260 0.000
Ni 2.219 -4.260 0.000
! ρ: 7.56 Mg/m³
! ΔE_f: -0.25 eV per atom
! N(E_F): 0.870 states/eV/atom
! relative energy among the computed polymorphs: 0.0 meV/atom
! final energy: -27.087 eV for the cell shown



! PmPr12Ni6 (PBE, optimized geometry); values from VASP
&SYSTEM
  ibrav = 0, nat = 19, ntyp = 3
/
ATOMIC_SPECIES
Pm 145.00 Pm.upf
Pr 140.91 Pr.upf
Ni 58.69 Ni.upf
CELL_PARAMETERS angstrom
-5.121 5.121 5.121
5.121 -5.121 5.121
5.121 5.121 -5.121
ATOMIC_POSITIONS angstrom
Pm 0.000 0.000 0.000
Pr 5.121 3.225 -1.924
Pr 3.197 0.000 1.896
Pr 7.045 0.000 1.896
Pr 1.896 3.197 0.000
Pr 3.225 -1.924 5.121
Pr 0.000 1.896 3.197
Pr 5.121 3.225 1.924
Pr 1.896 7.045 0.000
Pr 3.225 1.924 5.121
Pr -1.924 5.121 3.225
Pr 1.924 5.121 3.225
Pr 0.000 1.896 7.045
Ni 5.121 1.231 0.000
Ni 5.121 0.000 3.890
Ni 3.890 5.121 0.000
Ni 1.231 0.000 5.121
Ni 0.000 5.121 1.231
Ni 0.000 3.890 5.121
! ρ: 6.76 Mg/m³
! ΔE_f: -0.16 eV per atom
! N(E_F): 1.290 states/eV/atom
! final energy: -99.808 eV for the cell shown



! Pm3PrNi (PBE, optimized geometry); values from VASP
&SYSTEM
  ibrav = 0, nat = 10, ntyp = 3
/
ATOMIC_SPECIES
Pm 145.00 Pm.upf
Pr 140.91 Pr.upf
Ni 58.69 Ni.upf
CELL_PARAMETERS angstrom
6.071 -1.886 0.000
6.071 1.886 0.000
-5.423 0.000 12.990
ATOMIC_POSITIONS angstrom
Pm 0.000 0.000 0.000
Pm -2.023 0.000 4.887
Pm 1.292 0.000 6.232
Pm 1.286 0.000 9.807
Pm 6.637 0.000 3.149
Pm 4.649 0.000 7.989
Pr -2.064 0.000 11.144
Pr 3.330 0.000 1.804
Ni 2.848 0.000 12.940
Ni 8.475 0.000 8.030
! ρ: 7.09 Mg/m³
! ΔE_f: -0.12 eV per atom
! N(E_F): 1.331 states/eV/atom
! relative energy among the computed polymorphs: 0.0 meV/atom
! final energy: -50.796 eV for the cell shown